A plane-wave DFT calculation with SCAN was carried out for AgMo2Ir at its PBEsol-relaxed geometry.

The structure in extended XYZ format:
```
4
Lattice="2.710 0.000 0.000 0.000 2.710 0.000 0.000 0.000 8.256" Properties=species:S:1:pos:R:3 pbc="T T T"
Mo 0.000 0.000 6.069
Mo 0.000 0.000 2.187
Ag 1.355 1.355 0.000
Ir 1.355 1.355 4.128
```

Values from the calculation:
N(E_F) = 3.32 states/eV per cell
polymorph energy (0 for the lowest one) = 0.0 meV per atom
total DFT energy (no corrections) = -171.74 eV for the cell shown
total magnetization = 0.00 μB per cell



A plane-wave DFT calculation with SCAN was carried out for Ag2MoIr at its PBEsol-relaxed geometry.

The structure in extended XYZ format:
```
4
Lattice="-0.006 -1.210 2.388 2.363 0.933 -0.842 -1.823 8.495 4.298" Properties=species:S:1:pos:R:3 pbc="T T T"
Ir 0.267 4.109 2.922
Ag -1.363 6.351 3.213
Ag -0.460 2.144 1.085
Mo 1.178 -0.138 0.773
```

Values from the calculation:
N(E_F) = 3.23 states/eV per cell
polymorph energy (0 for the lowest one) = 71.5 meV per atom
total DFT energy (no corrections) = -166.68 eV for the cell shown
total magnetization = 0.00 μB per cell



A plane-wave DFT calculation with SCAN was carried out for AgMo2Ir at its PBEsol-relaxed geometry.

The structure in extended XYZ format:
```
4
Lattice="-0.235 2.019 -1.813 -4.736 -1.030 -0.534 0.812 3.264 3.530" Properties=species:S:1:pos:R:3 pbc="T T T"
Mo 0.406 1.632 1.765
Mo -2.368 -0.515 -0.267
Ir -2.079 2.126 0.592
Ag -0.118 1.010 -0.906
```

Values from the calculation:
N(E_F) = 2.35 states/eV per cell
polymorph energy (0 for the lowest one) = 61.6 meV per atom
total DFT energy (no corrections) = -171.49 eV for the cell shown
total magnetization = 0.00 μB per cell



- What is the N(E_F) in the second record?
  3.23 states/eV per cell



What did the second record say?
A plane-wave DFT calculation with SCAN was carried out for Ag2MoIr at its PBEsol-relaxed geometry.

The structure in extended XYZ format:
```
4
Lattice="-0.006 -1.210 2.388 2.363 0.933 -0.842 -1.823 8.495 4.298" Properties=species:S:1:pos:R:3 pbc="T T T"
Ir 0.267 4.109 2.922
Ag -1.363 6.351 3.213
Ag -0.460 2.144 1.085
Mo 1.178 -0.138 0.773
```

Values from the calculation:
N(E_F) = 3.23 states/eV per cell
polymorph energy (0 for the lowest one) = 71.5 meV per atom
total DFT energy (no corrections) = -166.68 eV for the cell shown
total magnetization = 0.00 μB per cell



- What is the formula in the third record?
  AgMo2Ir



- Number 3 is which compound?
  AgMo2Ir